(1)
This record from Alexandria via LeMat-Bulk describes a geometry-optimized LuTlIrRh structure. The functional is PBE-GGA. Values from VASP.

```
&SYSTEM
  ibrav = 0, nat = 4, ntyp = 4
/
ATOMIC_SPECIES
Tl 204.38 Tl.upf
Lu 174.97 Lu.upf
Ir 192.22 Ir.upf
Rh 102.91 Rh.upf
CELL_PARAMETERS angstrom
-2.7818 3.4800 1.4737
-4.5956 -0.7538 0.5764
-1.8329 -0.1298 4.3178
ATOMIC_POSITIONS angstrom
Tl 0.0000 0.0000 0.0000
Lu -4.6052 1.2982 3.1840
Ir -2.3026 0.6491 1.5920
Rh -6.9077 1.9473 4.7759
```

Computed properties:
**N(E_F)**: 0.312 states/eV/atom

---

(2)
This record from Alexandria via LeMat-Bulk describes a geometry-optimized Cr2SbAu structure. The functional is PBE-GGA. Values from VASP.

```
&SYSTEM
  ibrav = 0, nat = 4, ntyp = 3
/
ATOMIC_SPECIES
Sb 121.76 Sb.upf
Cr 52.00 Cr.upf
Au 196.97 Au.upf
CELL_PARAMETERS angstrom
4.6877 0.0000 0.0000
2.3439 4.0597 0.0000
2.3439 1.3532 3.8275
ATOMIC_POSITIONS angstrom
Sb 2.3439 1.3532 0.9569
Cr 0.0000 0.0000 0.0000
Au 4.6877 2.7064 1.9137
Cr 7.0316 4.0597 2.8706
```

Computed properties:
**N(E_F)**: 0.585 states/eV/atom
**Energy relative to the elements, uncorrected**: 0.33 eV per atom

---

(3)
This record from Alexandria via LeMat-Bulk describes a geometry-optimized Pm2Cu5Ni4 structure. The functional is PBE-GGA. Values from VASP.

```
&SYSTEM
  ibrav = 0, nat = 11, ntyp = 3
/
ATOMIC_SPECIES
Ni 58.69 Ni.upf
Cu 63.55 Cu.upf
Pm 145.00 Pm.upf
CELL_PARAMETERS angstrom
-1.5036 -0.5686 4.7225
3.3564 -0.4471 3.6497
-0.7384 7.6131 3.3163
ATOMIC_POSITIONS angstrom
Ni 1.2750 1.3266 5.8354
Cu 0.1812 3.1566 7.0249
Ni 0.5298 4.9294 8.6667
Cu -0.7518 -0.2843 2.3612
Ni 0.5845 1.6681 3.0218
Cu 0.9331 3.4409 4.6636
Pm -1.5000 1.5723 4.9814
Cu 0.9264 -0.5078 4.1861
Ni -0.1607 5.2708 5.8531
Cu 1.6782 -0.2235 1.8248
Pm -0.7420 5.4722 3.0574
```

Computed properties:
**N(E_F)**: 0.440 states/eV/atom

---

(4)
This record from Alexandria via LeMat-Bulk describes a geometry-optimized TiSbRh2 structure. The functional is PBE-GGA. Values from VASP.

```
&SYSTEM
  ibrav = 0, nat = 4, ntyp = 3
/
ATOMIC_SPECIES
Rh 102.91 Rh.upf
Sb 121.76 Sb.upf
Ti 47.87 Ti.upf
CELL_PARAMETERS angstrom
-3.7481 -0.5557 0.5553
-0.4623 -0.8660 -3.9874
0.7042 -3.9696 0.7805
ATOMIC_POSITIONS angstrom
Rh -0.2312 -0.4330 -1.9937
Rh 0.3521 -1.9848 0.3903
Sb -1.7531 -2.6957 -1.3258
Ti -1.8740 -0.2778 0.2776
```

Computed properties:
**N(E_F)**: 1.159 states/eV/atom
**Energy relative to the elements, uncorrected**: -0.53 eV per atom

---

(5)
This record from Alexandria via LeMat-Bulk describes a geometry-optimized LiLaPmEr structure. The functional is PBE-GGA. Values from VASP.

```
&SYSTEM
  ibrav = 0, nat = 4, ntyp = 4
/
ATOMIC_SPECIES
Pm 145.00 Pm.upf
La 138.91 La.upf
Er 167.26 Er.upf
Li 6.94 Li.upf
CELL_PARAMETERS angstrom
-4.5508 -1.1108 3.0759
-4.9355 -0.8650 -2.5095
-2.2455 -5.1340 -0.0713
ATOMIC_POSITIONS angstrom
Pm -8.7988 -5.3324 0.3714
La -2.9329 -1.7775 0.1238
Er -5.8659 -3.5549 0.2476
Li 0.0000 0.0000 0.0000
```

Computed properties:
**N(E_F)**: 1.177 states/eV/atom

---

(6)
This record from Alexandria via LeMat-Bulk describes a geometry-optimized La2AlAs3 structure. The functional is PBE-GGA. Values from VASP.

```
&SYSTEM
  ibrav = 0, nat = 24, ntyp = 3
/
ATOMIC_SPECIES
La 138.91 La.upf
Al 26.98 Al.upf
As 74.92 As.upf
CELL_PARAMETERS angstrom
6.5222 0.0000 0.5073
3.2611 6.6847 0.2536
0.0698 0.0000 14.5713
ATOMIC_POSITIONS angstrom
La 1.6448 1.3201 8.4570
Al 5.1315 6.6166 12.7350
As 1.6051 1.4107 14.3904
As 4.5559 2.5114 2.2384
As 4.8313 5.2741 7.3583
La 4.8192 3.8604 9.9813
La 4.8710 5.3646 1.4250
Al 8.0176 6.6166 10.1366
Al 4.7216 0.0681 2.5973
As 7.8519 4.1733 9.7777
As 6.5396 0.2989 4.1501
La 8.3299 3.8604 12.8902
As 8.2480 5.2741 0.9419
As 5.2972 4.1733 13.0938
La 5.0339 2.8243 5.3509
La 1.5232 2.8243 2.4421
As 2.0012 2.5114 5.5545
As 3.3134 6.3858 11.1821
As 5.0218 1.4107 7.9739
As 6.5396 5.2766 4.1501
La 8.2083 5.3646 6.8752
La 4.9821 1.3201 13.9072
Al 1.8355 0.0681 5.1957
As 3.3134 1.4081 11.1821
```

---

(7)
This record from Alexandria via LeMat-Bulk describes a geometry-optimized OsRu2 structure. The functional is PBE-GGA. Values from VASP.

```
&SYSTEM
  ibrav = 0, nat = 6, ntyp = 2
/
ATOMIC_SPECIES
Ru 101.07 Ru.upf
Os 190.23 Os.upf
CELL_PARAMETERS angstrom
-0.4595 -6.1651 -1.7116
0.8693 -0.7532 2.4796
-4.1804 -1.5941 2.4880
ATOMIC_POSITIONS angstrom
Ru -1.6367 -1.2578 1.6983
Os -1.4085 -4.8965 0.5130
Ru -2.3638 -3.6179 2.7429
Ru 0.1715 -3.2888 1.9540
Ru -3.0513 -6.1513 2.2144
Os -4.6379 -7.7580 0.7760
```

Computed properties:
**N(E_F)**: 0.739 states/eV/atom
**ΔE to the lowest computed polymorph**: 0.001 eV/f.u.

---

(8)
This record from Alexandria via LeMat-Bulk describes a geometry-optimized CeTeH2 structure. The functional is PBE-GGA. Values from VASP.

```
&SYSTEM
  ibrav = 0, nat = 4, ntyp = 3
/
ATOMIC_SPECIES
H 1.01 H.upf
Ce 140.12 Ce.upf
Te 127.60 Te.upf
CELL_PARAMETERS angstrom
4.2548 0.0000 0.0000
0.0000 3.9568 -1.2523
0.0000 -0.2812 4.1407
ATOMIC_POSITIONS angstrom
H 2.1274 3.2139 0.9803
Ce 2.1274 1.3802 2.0266
Te 0.0000 -0.1384 3.9590
H 2.1274 1.9632 -0.0026
```

Computed properties:
**N(E_F)**: 0.089 states/eV/atom
**ΔE to the lowest computed polymorph**: 0.647 eV/f.u.

---

(9)
This record from Alexandria via LeMat-Bulk describes a geometry-optimized AcTbTeSe structure. The functional is PBE-GGA. Values from VASP.

```
&SYSTEM
  ibrav = 0, nat = 4, ntyp = 4
/
ATOMIC_SPECIES
Tb 158.93 Tb.upf
Ac 227.00 Ac.upf
Te 127.60 Te.upf
Se 78.96 Se.upf
CELL_PARAMETERS angstrom
4.2508 -0.0015 0.0001
-2.1257 3.6830 0.0003
-2.1232 -1.2260 7.8265
ATOMIC_POSITIONS angstrom
Tb 0.4018 -0.2695 5.0551
Ac -1.7234 3.4142 0.6959
Te 2.5277 0.9579 3.0363
Se -1.7225 0.9593 6.6289
```

Computed properties:
**N(E_F)**: 0.305 states/eV/atom
**Energy relative to the elements, uncorrected**: -1.59 eV per atom

---

(10)
This record from Alexandria via LeMat-Bulk describes a geometry-optimized CdIrAu2 structure. The functional is PBE-GGA. Values from VASP.

```
&SYSTEM
  ibrav = 0, nat = 4, ntyp = 3
/
ATOMIC_SPECIES
Au 196.97 Au.upf
Cd 112.41 Cd.upf
Ir 192.22 Ir.upf
CELL_PARAMETERS angstrom
-2.7624 -0.4276 -0.6418
1.9647 -1.9108 -0.8451
-1.1996 -4.9862 8.4849
ATOMIC_POSITIONS angstrom
Au -1.1902 -4.9474 8.4189
Cd -0.6987 -2.4158 1.3777
Ir -1.2985 -4.9089 5.6202
Au -0.6091 -2.5319 4.3084
```

Computed properties:
**N(E_F)**: 0.994 states/eV/atom

---

(11)
This record from Alexandria via LeMat-Bulk describes a geometry-optimized ReNiBP structure. The functional is PBE-GGA. Values from VASP.

```
&SYSTEM
  ibrav = 0, nat = 8, ntyp = 4
/
ATOMIC_SPECIES
Re 186.21 Re.upf
B 10.81 B.upf
Ni 58.69 Ni.upf
P 30.97 P.upf
CELL_PARAMETERS angstrom
-2.1759 -1.7063 -1.1950
0.3297 -2.0332 2.3029
-6.5643 4.7659 5.1477
ATOMIC_POSITIONS angstrom
Re -7.3087 3.6633 4.2808
B -5.0823 3.6899 3.9855
Ni -2.5896 0.2371 0.5801
P -3.7430 2.7175 2.9352
P -0.2960 -0.6820 1.5128
Ni -5.7069 1.6034 4.3054
Re -3.8617 0.2638 2.8584
B -1.6353 0.2904 2.5631
```

Computed properties:
**N(E_F)**: 0.908 states/eV/atom
**ΔE to the lowest computed polymorph**: 0.217 eV/f.u.

---

| no. | VASP energy (eV/atom) |
| --- | --- |
| 1 | -6.2244 |
| 2 | -6.3269 |
| 3 | -4.9927 |
| 4 | -7.2145 |
| 5 | -3.8910 |
| 6 | -5.6939 |
| 7 | -9.9365 |
| 8 | -4.5173 |
| 9 | -5.4268 |
| 10 | -3.8418 |
| 11 | -7.6978 |